AcAg2 (GGA-PBE, optimized geometry); VASP energy = -21.45 eV for the cell shown; calculated formation energy = -0.305 eV per atom; volume = 165 Å³ per cell; spin magnetization = 0.000 μB per atom; N(E_F) = 2.05 states/eV/f.u.; relative energy among the computed polymorphs = 0.000 eV/atom
1.0
-0.5753 4.4515 1.9546
1.5478 0.2098 6.1086
5.2351 3.5011 -0.3017
Ac Ag
2 4
Direct
0.5013 0.7487 0.7487
0.4987 0.2513 0.2513
0.8323 0.6692 0.1662
0.1677 0.8338 0.3308
0.1677 0.3308 0.8338
0.8323 0.1662 0.6692